The following is a DFT calculation (PBE) of a relaxed HfPaPb crystal.

Results
Crystal system: tetragonal
Energy of formation from the pure elements in meV/atom: 49

Cell lengths 7.6256, 7.6256, 7.6256 Å; angles 155.55, 155.55, 34.85 degrees
Fractional coordinates of all 3 atoms:
Hf  0.0000  0.0000  0.0000
Pa  0.6592  0.6592  0.0000
Pb  0.3376  0.3376  0.0000

The following is a DFT calculation (PBE) of a relaxed NaPuAl2O8 crystal.

Results
Crystal system: tetragonal
Formation energy without anion corrections in eV/atom: -1.85

Cell lengths 5.8310, 5.8310, 5.8310 Å; angles 107.51, 107.51, 113.46 degrees
Fractional coordinates of all 12 atoms:
Na  0.0000  0.0000  0.0000
Pu  0.2500  0.7500  0.5000
Al  0.5000  0.5000  0.0000
Al  0.7500  0.2500  0.5000
O  0.3353  0.1262  0.7908
O  0.3353  0.5445  0.2092
O  0.3748  0.0525  0.3224
O  0.4555  0.6647  0.7908
O  0.7301  0.0525  0.6776
O  0.8738  0.6647  0.2092
O  0.9475  0.2699  0.3224
O  0.9475  0.6252  0.6776

Number 1: VASP energy -7.67 eV/atom. Number 2: VASP energy -7.09 eV/atom.